## A
Entry from the Alexandria database: a relaxed structure of CoRuRh2 (PBE-GGA).

The size of the total moment is 2.533 μB/f.u.

It has space group R3m (No. 160, hexagonal axes), with a = 2.6929 Å, b = 2.6929 Å, c = 25.8147 Å, α = 90.00°, β = 90.00° and γ = 120.00°. The distinct sites, in fractional coordinates, are Co at (0.0000, 0.0000, 0.0000), Ru at (0.0000, 0.0000, 0.2530), Rh at (0.0000, 0.0000, 0.5020) and Rh at (0.0000, 0.0000, 0.7469).

## B
Entry from the Alexandria database: a relaxed structure of CoRuRh2 (PBE-GGA).

The size of the total moment is 1.400 μB/f.u.

It has space group Pmm2 (No. 25), with a = 2.6820 Å, b = 3.7431 Å, c = 5.3241 Å, α = 90.00°, β = 90.00° and γ = 90.00°. The distinct sites, in fractional coordinates, are Co at (0.0000, 0.0000, 0.0000), Ru at (0.5000, 0.5000, 0.7599), Rh at (0.0000, 0.0000, 0.5102) and Rh at (0.5000, 0.5000, 0.2402).

Of them, A has the lowest stability.

## A
Entry from the Alexandria database: a relaxed structure of CoRuRh2 (PBE-GGA).

The size of the total moment is 0.000 μB/f.u.

It has space group I-42d (No. 122), with a = 3.6824 Å, b = 3.6824 Å, c = 17.0618 Å, α = 90.00°, β = 90.00° and γ = 90.00°. The distinct sites, in fractional coordinates, are Co at (0.0000, 0.0000, 0.0000), Ru at (0.0000, 0.0000, 0.5000) and Rh at (0.2372, 0.2500, 0.1250).

## B
Entry from the Alexandria database: a relaxed structure of CoRuRh2 (PBE-GGA).

The size of the total moment is 1.983 μB/f.u.

It has space group I-4m2 (No. 119), with a = 3.7665 Å, b = 3.7665 Å, c = 7.5476 Å, α = 90.00°, β = 90.00° and γ = 90.00°. The distinct sites, in fractional coordinates, are Co at (0.0000, 0.0000, 0.0000), Ru at (0.0000, 0.5000, 0.7500), Rh at (0.0000, 0.0000, 0.5000) and Rh at (0.0000, 0.5000, 0.2500).

## C
Entry from the Alexandria database: a relaxed structure of CoRuRh2 (PBE-GGA).

The size of the total moment is 3.385 μB/f.u.

It has space group P4/mmm (No. 123), with a = 4.5247 Å, b = 4.5247 Å, c = 2.7109 Å, α = 90.00°, β = 90.00° and γ = 90.00°. The distinct sites, in fractional coordinates, are Co at (0.0000, 0.0000, 0.0000), Ru at (0.5000, 0.5000, 0.0000) and Rh at (0.0000, 0.5000, 0.5000).

Of them, A has the lowest stability.

## A
Entry from the Alexandria database: a relaxed structure of CoRuRh3 (PBE-GGA).

The size of the total moment is 6.299 μB/f.u.

It has space group Pm-3m (No. 221), with a = 4.4129 Å, b = 4.4129 Å, c = 4.4129 Å, α = 90.00°, β = 90.00° and γ = 90.00°. The distinct sites, in fractional coordinates, are Co at (0.0000, 0.0000, 0.0000), Ru at (0.5000, 0.5000, 0.5000) and Rh at (0.0000, 0.0000, 0.5000).

## B
Entry from the Alexandria database: a relaxed structure of CoRuRh3 (PBE-GGA).

The size of the total moment is 2.087 μB/f.u.

It has space group Pmma (No. 51), with a = 8.9997 Å, b = 2.6444 Å, c = 6.3405 Å, α = 90.00°, β = 90.00° and γ = 90.00°. The distinct sites, in fractional coordinates, are Co at (0.2500, 0.0000, 0.2379), Ru at (0.2500, 0.5000, 0.5831), Rh at (0.0000, 0.0000, 0.5000) and Rh at (0.1084, 0.0000, 0.8883).

Of them, A has the lowest stability.

## A
Entry from the Alexandria database: a relaxed structure of CoRuRh (PBE-GGA).

The size of the total moment is 1.320 μB/f.u.

It has space group Immm (No. 71), with a = 2.6170 Å, b = 3.8891 Å, c = 17.5252 Å, α = 90.00°, β = 90.00° and γ = 90.00°. The distinct sites, in fractional coordinates, are Co at (0.0000, 0.0000, 0.1495), Ru at (0.0000, 0.0000, 0.2931) and Rh at (0.0000, 0.5000, 0.0695).

## B
Entry from the Alexandria database: a relaxed structure of CoRuRh (PBE-GGA).

The size of the total moment is 1.313 μB/f.u.

It has space group F-43m (No. 216), with a = 5.6160 Å, b = 5.6160 Å, c = 5.6160 Å, α = 90.00°, β = 90.00° and γ = 90.00°. The distinct sites, in fractional coordinates, are Co at (0.0000, 0.0000, 0.0000), Ru at (0.2500, 0.2500, 0.7500) and Rh at (0.2500, 0.2500, 0.2500).

Of them, B has the lowest stability.

## A
Entry from the Alexandria database: a relaxed structure of CoRuRh (PBE-GGA).

The size of the total moment is 1.189 μB/f.u.

It has space group P-6m2 (No. 187), with a = 4.1771 Å, b = 4.1771 Å, c = 2.6221 Å, α = 90.00°, β = 90.00° and γ = 120.00°. The distinct sites, in fractional coordinates, are Co at (0.0000, 0.0000, 0.0000), Ru at (0.3333, 0.6667, 0.5000) and Rh at (0.6667, 0.3333, 0.0000).

## B
Entry from the Alexandria database: a relaxed structure of CoRuRh (PBE-GGA).

The size of the total moment is 1.385 μB/f.u.

It has space group P3m1 (No. 156), with a = 2.6652 Å, b = 2.6652 Å, c = 6.4103 Å, α = 90.00°, β = 90.00° and γ = 120.00°. The distinct sites, in fractional coordinates, are Co at (0.0000, 0.0000, 0.0000), Ru at (0.3333, 0.6667, 0.6825) and Rh at (0.6667, 0.3333, 0.3322).

Of them, A has the lowest stability.

## A
Entry from the Alexandria database: a relaxed structure of CoRuRh (PBE-GGA).

The size of the total moment is 3.057 μB/f.u.

It has space group Fmm2 (No. 42), with a = 2.7304 Å, b = 4.5314 Å, c = 13.2124 Å, α = 90.00°, β = 90.00° and γ = 90.00°. The distinct sites, in fractional coordinates, are Co at (0.0000, 0.0000, 0.0000), Ru at (0.0000, 0.0000, 0.6602) and Rh at (0.0000, 0.0000, 0.3360).

## B
Entry from the Alexandria database: a relaxed structure of CoRuRh (PBE-GGA).

The size of the total moment is 1.249 μB/f.u.

It has space group I4mm (No. 107), with a = 2.6739 Å, b = 2.6739 Å, c = 10.9238 Å, α = 90.00°, β = 90.00° and γ = 90.00°. The distinct sites, in fractional coordinates, are Co at (0.0000, 0.0000, 0.0000), Ru at (0.0000, 0.0000, 0.3430) and Rh at (0.0000, 0.0000, 0.6669).

## C
Entry from the Alexandria database: a relaxed structure of CoRuRh (PBE-GGA).

The size of the total moment is 0.942 μB/f.u.

It has space group Imm2 (No. 44), with a = 2.6710 Å, b = 3.6832 Å, c = 7.9238 Å, α = 90.00°, β = 90.00° and γ = 90.00°. The distinct sites, in fractional coordinates, are Co at (0.0000, 0.0000, 0.0000), Ru at (0.0000, 0.0000, 0.6572) and Rh at (0.0000, 0.0000, 0.3305).

Of them, A has the lowest stability.